# 1
# CaY3Bi4

A relaxed structure of CaY3Bi4 (PBE, Alexandria via LeMat-Bulk).

```
data_CaY3Bi4
_chemical_formula_sum 'Ca2 Y6 Bi8'
_space_group_name_H-M_alt 'P 1 2/c 1'
_space_group_IT_number 13
_cell_length_a 7.8383
_cell_length_b 9.0451
_cell_length_c 7.8003
_cell_angle_alpha 90.00
_cell_angle_beta 109.48
_cell_angle_gamma 90.00
loop_
_space_group_symop_operation_xyz
'x,y,z'
'-x,-y,-z'
'-x,y,-z+1/2'
'x,-y,z+1/2'
loop_
_atom_site_label
_atom_site_type_symbol
_atom_site_fract_x
_atom_site_fract_y
_atom_site_fract_z
Ca1 Ca 0.0000 0.1234 0.2500
Y1 Y 0.0000 0.3738 0.7500
Y2 Y 0.5000 0.1237 0.7500
Y3 Y 0.5000 0.3746 0.2500
Bi1 Bi 0.2515 0.3779 0.5027
Bi2 Bi 0.2561 0.1288 0.9994
```

Output
M_tot = 0.0 μB/cell
Volume = 521.4 Å³ per cell
Total energy = -5.450 eV/atom
E_form = -0.835 eV per atom

# 2
# Sm3SbTeSe

A relaxed structure of Sm3SbTeSe (PBE, Alexandria via LeMat-Bulk).

```
data_Sm3SbTeSe
_chemical_formula_sum 'Sm6 Sb2 Te2 Se2'
_space_group_name_H-M_alt 'P 1 21/m 1'
_space_group_IT_number 11
_cell_length_a 8.6443
_cell_length_b 4.5680
_cell_length_c 10.0461
_cell_angle_alpha 90.00
_cell_angle_beta 98.19
_cell_angle_gamma 90.00
loop_
_space_group_symop_operation_xyz
'x,y,z'
'-x,-y,-z'
'-x,y+1/2,-z'
'x,-y+1/2,z'
loop_
_atom_site_label
_atom_site_type_symbol
_atom_site_fract_x
_atom_site_fract_y
_atom_site_fract_z
Sm1 Sm 0.0978 0.2500 0.3540
Sm2 Sm 0.2543 0.2500 0.9846
Sm3 Sm 0.3960 0.7500 0.6278
Sb1 Sb 0.1511 0.2500 0.6626
Te1 Te 0.3360 0.7500 0.2993
Se1 Se 0.4046 0.7500 0.9085
```

Output
M_tot = 1.1 μB/cell
Volume = 392.6 Å³ per cell
E_form (uncorrected) = -7.1 eV per formula unit
Total energy = -5.329 eV/atom

# 3
# Cd2FeTe

A relaxed structure of Cd2FeTe (PBE, Alexandria via LeMat-Bulk).

```
data_Cd2FeTe
_chemical_formula_sum 'Cd4 Fe2 Te2'
_space_group_name_H-M_alt 'I 4/m m m'
_space_group_IT_number 139
_space_group_name_Hall '-I 4 2'
_cell_length_a 4.0485
_cell_length_b 4.0485
_cell_length_c 10.4911
_cell_angle_alpha 90.00
_cell_angle_beta 90.00
_cell_angle_gamma 90.00
loop_
_atom_site_label
_atom_site_type_symbol
_atom_site_fract_x
_atom_site_fract_y
_atom_site_fract_z
Cd1 Cd 0.0000 0.5000 0.2500
Fe1 Fe 0.0000 0.0000 0.0000
Te1 Te 0.0000 0.0000 0.5000
```

Output
M_tot = 5.8 μB/cell
Volume = 172.0 Å³ per cell
E_form (uncorrected) = 1.5 eV per formula unit
Total energy = -2.982 eV/atom

# 4
# ZnCdAs

A relaxed structure of ZnCdAs (PBE, Alexandria via LeMat-Bulk).

```
data_ZnCdAs
_chemical_formula_sum 'Zn4 Cd4 As4'
_space_group_name_H-M_alt 'F -4 3 m'
_space_group_IT_number 216
_space_group_name_Hall 'F -4 2 3'
_cell_length_a 6.3532
_cell_length_b 6.3532
_cell_length_c 6.3532
_cell_angle_alpha 90.00
_cell_angle_beta 90.00
_cell_angle_gamma 90.00
loop_
_atom_site_label
_atom_site_type_symbol
_atom_site_fract_x
_atom_site_fract_y
_atom_site_fract_z
Zn1 Zn 0.0000 0.0000 0.0000
Cd1 Cd 0.2500 0.2500 0.7500
As1 As 0.2500 0.2500 0.2500
```

Output
M_tot = 0.0 μB/cell
Volume = 256.4 Å³ per cell
Total energy = -2.192 eV/atom
E_form = 0.088 eV per atom

# 5
# La2Nd2DyY2

A relaxed structure of La2Nd2DyY2 (PBE, Alexandria via LeMat-Bulk).

```
data_La2Nd2DyY2
_chemical_formula_sum 'La4 Nd4 Dy2 Y4'
_space_group_name_H-M_alt 'C 1 2/m 1'
_space_group_IT_number 12
_cell_length_a 11.5642
_cell_length_b 5.1807
_cell_length_c 8.1332
_cell_angle_alpha 90.00
_cell_angle_beta 98.34
_cell_angle_gamma 90.00
loop_
_space_group_symop_operation_xyz
'x,y,z'
'-x,-y,-z'
'-x,y,-z'
'x,-y,z'
'x+1/2,y+1/2,z'
'-x+1/2,-y+1/2,-z'
'-x+1/2,y+1/2,-z'
'x+1/2,-y+1/2,z'
loop_
_atom_site_label
_atom_site_type_symbol
_atom_site_fract_x
_atom_site_fract_y
_atom_site_fract_z
La1 La 0.1424 0.0000 0.4267
Nd1 Nd 0.0706 0.5000 0.7188
Dy1 Dy 0.0000 0.0000 0.0000
Y1 Y 0.2152 0.5000 0.1383
```

Output
M_tot = 0.0 μB/cell
Volume = 482.1 Å³ per cell
Total energy = -5.251 eV/atom
E_form = 0.023 eV per atom

# 6
# Al2InOs

A relaxed structure of Al2InOs (PBE, Alexandria via LeMat-Bulk).

```
data_Al2InOs
_chemical_formula_sum 'Al2 In1 Os1'
_space_group_name_H-M_alt 'P m m 2'
_space_group_IT_number 25
_cell_length_a 3.1644
_cell_length_b 3.7956
_cell_length_c 5.5320
_cell_angle_alpha 90.00
_cell_angle_beta 90.00
_cell_angle_gamma 90.00
loop_
_space_group_symop_operation_xyz
'x,y,z'
'-x,-y,z'
'-x,y,z'
'x,-y,z'
loop_
_atom_site_label
_atom_site_type_symbol
_atom_site_fract_x
_atom_site_fract_y
_atom_site_fract_z
Al1 Al 0.0000 0.0000 0.0000
Al2 Al 0.5000 0.5000 0.2586
In1 In 0.0000 0.0000 0.5215
Os1 Os 0.5000 0.5000 0.8067
```

Output
M_tot = 0.0 μB/cell
Volume = 66.4 Å³ per cell
Total energy = -5.322 eV/atom
E_form = 0.041 eV per atom

# 7
# Nd2SmAgN

A relaxed structure of Nd2SmAgN (PBE, Alexandria via LeMat-Bulk).

```
data_Nd2SmAgN
_chemical_formula_sum 'Nd2 Sm1 Ag1 N1'
_space_group_name_H-M_alt 'P 4/m m m'
_space_group_IT_number 123
_space_group_name_Hall '-P 4 2'
_cell_length_a 5.0268
_cell_length_b 5.0268
_cell_length_c 4.8932
_cell_angle_alpha 90.00
_cell_angle_beta 90.00
_cell_angle_gamma 90.00
loop_
_atom_site_label
_atom_site_type_symbol
_atom_site_fract_x
_atom_site_fract_y
_atom_site_fract_z
Nd1 Nd 0.0000 0.5000 0.0000
Sm1 Sm 0.0000 0.0000 0.5000
Ag1 Ag 0.5000 0.5000 0.5000
N1 N 0.0000 0.0000 0.0000
```

Output
M_tot = 0.0 μB/cell
Volume = 123.6 Å³ per cell
E_form (uncorrected) = -3.0 eV per formula unit
Total energy = -5.689 eV/atom

# 8
# Li2SmAsS4

A relaxed structure of Li2SmAsS4 (PBE, Alexandria via LeMat-Bulk).

```
data_Li2SmAsS4
_chemical_formula_sum 'Li2 Sm1 As1 S4'
_space_group_name_H-M_alt 'P 1 2/m 1'
_space_group_IT_number 10
_cell_length_a 6.5427
_cell_length_b 3.8588
_cell_length_c 6.6875
_cell_angle_alpha 90.00
_cell_angle_beta 109.76
_cell_angle_gamma 90.00
loop_
_space_group_symop_operation_xyz
'x,y,z'
'-x,-y,-z'
'-x,y,-z'
'x,-y,z'
loop_
_atom_site_label
_atom_site_type_symbol
_atom_site_fract_x
_atom_site_fract_y
_atom_site_fract_z
Li1 Li 0.0000 0.0000 0.0000
Li2 Li 0.0000 0.5000 0.5000
Sm1 Sm 0.5000 0.0000 0.5000
As1 As 0.5000 0.5000 0.0000
S1 S 0.2480 0.5000 0.2326
S2 S 0.2554 0.0000 0.7690
```

Output
M_tot = 0.0 μB/cell
Volume = 158.9 Å³ per cell
E_form (uncorrected) = -9.2 eV per formula unit
Total energy = -4.865 eV/atom

# 9
# SmDy3Pb2

A relaxed structure of SmDy3Pb2 (PBE, Alexandria via LeMat-Bulk).

```
data_SmDy3Pb2
_chemical_formula_sum 'Sm4 Dy12 Pb8'
_space_group_name_H-M_alt 'I b a m'
_space_group_IT_number 72
_space_group_name_Hall '-I 2 2c'
_cell_length_a 7.4987
_cell_length_b 14.6255
_cell_length_c 7.5066
_cell_angle_alpha 90.00
_cell_angle_beta 90.00
_cell_angle_gamma 90.00
loop_
_atom_site_label
_atom_site_type_symbol
_atom_site_fract_x
_atom_site_fract_y
_atom_site_fract_z
Sm1 Sm 0.0000 0.0000 0.0000
Dy1 Dy 0.0000 0.2104 0.2500
Dy2 Dy 0.0000 0.5000 0.2500
Pb1 Pb 0.1808 0.3570 0.0000
```

Output
M_tot = 0.0 μB/cell
Volume = 823.3 Å³ per cell
Total energy = -4.478 eV/atom
E_form = -0.154 eV per atom

# 10
# Ba2LiPbF

A relaxed structure of Ba2LiPbF (PBE, Alexandria via LeMat-Bulk).

```
data_Ba2LiPbF
_chemical_formula_sum 'Ba2 Li1 Pb1 F1'
_space_group_name_H-M_alt 'P 4/m m m'
_space_group_IT_number 123
_space_group_name_Hall '-P 4 2'
_cell_length_a 5.6570
_cell_length_b 5.6570
_cell_length_c 4.7462
_cell_angle_alpha 90.00
_cell_angle_beta 90.00
_cell_angle_gamma 90.00
loop_
_atom_site_label
_atom_site_type_symbol
_atom_site_fract_x
_atom_site_fract_y
_atom_site_fract_z
Ba1 Ba 0.0000 0.5000 0.0000
Li1 Li 0.0000 0.0000 0.5000
Pb1 Pb 0.5000 0.5000 0.5000
F1 F 0.0000 0.0000 0.0000
```

Output
M_tot = 0.0 μB/cell
Volume = 151.9 Å³ per cell
E_form (uncorrected) = -6.8 eV per formula unit
Total energy = -3.624 eV/atom

# 11
# CsCuPSe4

A relaxed structure of CsCuPSe4 (PBE, Alexandria via LeMat-Bulk).

```
data_CsCuPSe4
_chemical_formula_sum 'Cs2 Cu2 P2 Se8'
_space_group_name_H-M_alt 'P 1 21/m 1'
_space_group_IT_number 11
_cell_length_a 6.5138
_cell_length_b 6.9173
_cell_length_c 9.6075
_cell_angle_alpha 90.00
_cell_angle_beta 106.80
_cell_angle_gamma 90.00
loop_
_space_group_symop_operation_xyz
'x,y,z'
'-x,-y,-z'
'-x,y+1/2,-z'
'x,-y+1/2,z'
loop_
_atom_site_label
_atom_site_type_symbol
_atom_site_fract_x
_atom_site_fract_y
_atom_site_fract_z
Cs1 Cs 0.2268 0.2500 0.1048
Cu1 Cu 0.1180 0.7500 0.4792
P1 P 0.3826 0.2500 0.7000
Se1 Se 0.1359 0.0083 0.6803
Se2 Se 0.3714 0.7500 0.0922
Se3 Se 0.4998 0.2500 0.5036
```

Output
M_tot = 0.0 μB/cell
Volume = 414.4 Å³ per cell
E_form (uncorrected) = -2.5 eV per formula unit
Total energy = -3.827 eV/atom

# 12
# Y2AlZn2Rh5

A relaxed structure of Y2AlZn2Rh5 (PBE, Alexandria via LeMat-Bulk).

```
data_Y2AlZn2Rh5
_chemical_formula_sum 'Y4 Al2 Zn4 Rh10'
_space_group_name_H-M_alt 'P 4/m b m'
_space_group_IT_number 127
_space_group_name_Hall '-P 4 2ab'
_cell_length_a 9.7949
_cell_length_b 9.7949
_cell_length_c 3.4754
_cell_angle_alpha 90.00
_cell_angle_beta 90.00
_cell_angle_gamma 90.00
loop_
_atom_site_label
_atom_site_type_symbol
_atom_site_fract_x
_atom_site_fract_y
_atom_site_fract_z
Y1 Y 0.1725 0.3275 0.0000
Al1 Al 0.0000 0.0000 0.0000
Zn1 Zn 0.1277 0.6277 0.0000
Rh1 Rh 0.0000 0.5000 0.5000
Rh2 Rh 0.0633 0.8029 0.5000
```

Output
M_tot = 0.0 μB/cell
Volume = 333.4 Å³ per cell
Total energy = -6.262 eV/atom
E_form = -0.664 eV per atom

Which of these has the highest total energy?
ZnCdAs

Copy entry 1 word for word.
# CaY3Bi4

A relaxed structure of CaY3Bi4 (PBE, Alexandria via LeMat-Bulk).

```
data_CaY3Bi4
_chemical_formula_sum 'Ca2 Y6 Bi8'
_space_group_name_H-M_alt 'P 1 2/c 1'
_space_group_IT_number 13
_cell_length_a 7.8383
_cell_length_b 9.0451
_cell_length_c 7.8003
_cell_angle_alpha 90.00
_cell_angle_beta 109.48
_cell_angle_gamma 90.00
loop_
_space_group_symop_operation_xyz
'x,y,z'
'-x,-y,-z'
'-x,y,-z+1/2'
'x,-y,z+1/2'
loop_
_atom_site_label
_atom_site_type_symbol
_atom_site_fract_x
_atom_site_fract_y
_atom_site_fract_z
Ca1 Ca 0.0000 0.1234 0.2500
Y1 Y 0.0000 0.3738 0.7500
Y2 Y 0.5000 0.1237 0.7500
Y3 Y 0.5000 0.3746 0.2500
Bi1 Bi 0.2515 0.3779 0.5027
Bi2 Bi 0.2561 0.1288 0.9994
```

Output
M_tot = 0.0 μB/cell
Volume = 521.4 Å³ per cell
Total energy = -5.450 eV/atom
E_form = -0.835 eV per atom

What did the eighth record say?
# Li2SmAsS4

A relaxed structure of Li2SmAsS4 (PBE, Alexandria via LeMat-Bulk).

```
data_Li2SmAsS4
_chemical_formula_sum 'Li2 Sm1 As1 S4'
_space_group_name_H-M_alt 'P 1 2/m 1'
_space_group_IT_number 10
_cell_length_a 6.5427
_cell_length_b 3.8588
_cell_length_c 6.6875
_cell_angle_alpha 90.00
_cell_angle_beta 109.76
_cell_angle_gamma 90.00
loop_
_space_group_symop_operation_xyz
'x,y,z'
'-x,-y,-z'
'-x,y,-z'
'x,-y,z'
loop_
_atom_site_label
_atom_site_type_symbol
_atom_site_fract_x
_atom_site_fract_y
_atom_site_fract_z
Li1 Li 0.0000 0.0000 0.0000
Li2 Li 0.0000 0.5000 0.5000
Sm1 Sm 0.5000 0.0000 0.5000
As1 As 0.5000 0.5000 0.0000
S1 S 0.2480 0.5000 0.2326
S2 S 0.2554 0.0000 0.7690
```

Output
M_tot = 0.0 μB/cell
Volume = 158.9 Å³ per cell
E_form (uncorrected) = -9.2 eV per formula unit
Total energy = -4.865 eV/atom